Eu2ThPb: relaxed, PBE-GGA.

Cell lengths 5.2046, 4.9670, 4.9670 Å; angles 90.00, 90.00, 90.00 degrees
Element x y z (fractional)
1 Pb 0.5000 0.5000 0.5000
2 Eu 0.0000 0.0000 0.5000
3 Eu 0.0000 0.5000 0.0000
4 Th 0.5000 0.0000 0.0000

magnetic moment	15.4	μB/f.u.
DFT formation energy	-0.160	eV per atom